(1)
DFT (GGA-PBE) results for a geometry-optimized Ca2Tl2Pd structure.

Summary:
Its crystal system is tetragonal. The value obtained for the offset from the most stable computed form is 0.300 eV/atom. Its electronic total energy is -2.962 eV/atom. Its magnetization is 0.00 μB/atom. The calculation puts the density of states at the Fermi level at 0.59 states/eV per atom. The calculation puts the formation energy at -0.18 eV per atom. The value obtained for the volume is 29.26 Å³/atom.

Cell and atoms, written as POSCAR:
```
Ca2Tl2Pd
1.0
7.709 0.000 0.000
0.000 7.709 0.000
0.000 0.000 4.924
Ca Tl Pd
4 4 2
Direct
0.164 0.336 0.000 Ca
0.336 0.836 0.000 Ca
0.664 0.164 0.000 Ca
0.836 0.664 0.000 Ca
0.150 0.650 0.500 Tl
0.350 0.150 0.500 Tl
0.650 0.850 0.500 Tl
0.850 0.350 0.500 Tl
0.000 0.000 0.000 Pd
0.500 0.500 0.000 Pd
```

***

(2)
DFT (GGA-PBE) results for a geometry-optimized Ca5Tl2Pd structure.

Summary:
Its crystal system is orthorhombic. Its electronic total energy is -2.903 eV/atom. Its magnetization is 0.00 μB/atom. The calculation puts the density of states at the Fermi level at 0.77 states/eV per atom. The calculation puts the formation energy at -0.41 eV per atom. The value obtained for the volume is 30.50 Å³/atom.

Cell and atoms, written as POSCAR:
```
Ca5Tl2Pd
1.0
7.527 0.000 0.000
0.000 12.849 0.000
0.000 0.000 5.045
Ca Tl Pd
10 4 2
Direct
0.000 0.000 0.000 Ca
0.135 0.292 0.000 Ca
0.179 0.581 0.500 Ca
0.321 0.081 0.500 Ca
0.365 0.792 0.000 Ca
0.500 0.500 0.000 Ca
0.635 0.208 0.000 Ca
0.679 0.919 0.500 Ca
0.821 0.419 0.500 Ca
0.865 0.708 0.000 Ca
0.092 0.837 0.500 Tl
0.408 0.337 0.500 Tl
0.592 0.663 0.500 Tl
0.908 0.163 0.500 Tl
0.000 0.500 0.000 Pd
0.500 0.000 0.000 Pd
```